DFT (PBE) results for an optimized crystal structure of PuU2Tc2.

The structure belongs to space group C2/m (No. 12); the cell edges are 9.657, 4.642 and 8.826 Å and the angles 90.00°, 100.91° and 90.00°. The asymmetric unit holds Pu at (0.112, 0.000, 0.192), U at (0.065, 0.500, 0.831), U at (0.113, 0.500, 0.431), Tc at (0.119, 0.000, 0.608) and Tc at (0.246, 0.000, 0.887).

Its formation energy is 0.00 eV/atom. As for the volume: 19.43 A^3/atom.